(i)
The following is a GGA-PBE calculation of a relaxed structure of Pm2Pr3Dy, from Alexandria.

Structure (extended XYZ):
```
12
Lattice="-2.0547 -5.6405 -0.0524 3.3122 -1.1449 -6.6379 7.0735 0.5468 7.6794" Properties=species:S:1:pos:R:3 pbc="T T T"
Pm 3.3692 -4.4055 -1.8030
Pm 6.6177 -2.4060 -0.5269
Pm 1.7133 -3.8327 1.5160
Pm 4.9618 -1.8332 2.7921
Pr -0.1993 -3.1065 -1.6857
Pr 1.4568 -3.6789 -5.0046
Pr 3.1925 -1.1599 -0.3290
Pr 3.4824 -4.5063 4.6371
Pr 5.1386 -5.0788 1.3181
Pr 4.8486 -1.7323 -3.6479
Dy 1.6561 -0.5725 -3.3190
Dy 0.0000 0.0000 0.0000
```

---

(ii)
The following is a GGA-PBE calculation of a relaxed structure of Pm2Pr3Dy, from Alexandria.

Structure (extended XYZ):
```
12
Lattice="-3.4972 0.9689 -0.9493 -3.0407 -6.8519 4.2087 -0.9835 7.1476 10.9184" Properties=species:S:1:pos:R:3 pbc="T T T"
Pm -2.3780 1.0353 6.1118
Pm -5.1434 0.2292 8.0661
Pm -3.7553 6.5173 9.3703
Pm -3.7661 -5.2528 4.8076
Pr -3.4878 4.4878 6.3134
Pr -4.0336 -3.2233 7.8645
Pr -4.7067 -1.6164 4.5733
Pr -2.8147 2.8809 9.6046
Pr -1.9836 -1.7351 1.8312
Pr -5.5378 2.9996 12.3467
Dy -4.0743 0.0397 11.3450
Dy -3.4471 1.2249 2.8329
```

---

What are the relative energies? In meV/atom: (i) 42; (ii) 0.

---

(i)
The following is a GGA-PBE calculation of a relaxed structure of PmPr2Dy5, from Alexandria.

Structure (extended XYZ):
```
16
Lattice="5.0909 0.0000 0.0000 0.0000 7.1933 0.0000 0.0000 0.0000 14.3904" Properties=species:S:1:pos:R:3 pbc="T T T"
Pm 0.0000 0.0000 7.1952
Pm 0.0000 3.5966 0.0000
Pr 2.5455 1.8113 9.0043
Pr 2.5455 5.3820 5.3861
Pr 2.5455 1.7854 1.8091
Pr 2.5455 5.4079 12.5813
Dy 0.0000 0.0000 0.0000
Dy 0.0000 3.5966 7.1952
Dy 0.0000 3.6101 10.7834
Dy 0.0000 3.5832 3.6071
Dy 0.0000 7.1798 3.5881
Dy 0.0000 0.0134 10.8023
Dy 2.5455 1.8086 12.5892
Dy 2.5455 5.3846 1.8013
Dy 2.5455 1.7880 5.3939
Dy 2.5455 5.4053 8.9965
```

---

(ii)
The following is a GGA-PBE calculation of a relaxed structure of PmPr2Dy5, from Alexandria.

Structure (extended XYZ):
```
16
Lattice="9.1708 0.0000 -3.9233 -1.0127 6.0289 -2.3673 -0.8208 -1.7644 10.7616" Properties=species:S:1:pos:R:3 pbc="T T T"
Pm -0.4104 -0.8822 5.3808
Pm 3.6686 2.1323 2.2355
Pr 0.4470 1.2766 7.3095
Pr 4.4714 4.2910 4.1876
Pr 6.8903 2.9880 -2.8386
Pr 2.8659 -0.0265 0.2834
Dy 3.3670 1.2783 5.6515
Dy 7.8688 4.5217 -5.4667
Dy 0.2893 1.5072 -0.8239
Dy 7.0461 2.7300 1.5199
Dy 0.2911 1.5346 2.9510
Dy 5.9104 -0.2845 3.4061
Dy 1.4269 4.5490 1.0649
Dy 3.9703 2.9862 -1.1805
Dy 1.2557 4.2928 5.1544
Dy 6.0816 -0.0282 -0.6834
```

---

What are the relative energies? In meV/atom: (i) 0; (ii) 150.